Entry 1:
5
Lattice="6.107 0.000 0.000 0.000 6.107 0.000 0.000 0.000 6.107" Properties=species:S:1:pos:R:3 comment="CsAl3Se PBE-GGA optimized geometry" e_form_raw_ev_per_atom=1.660 dft_energy_ev_per_atom=-1.45 relative_energy_mev_per_atom=1114 pbc="T T T"
Al 0.000 0.000 3.053
Al 0.000 3.053 0.000
Al 3.053 0.000 0.000
Cs 0.000 0.000 0.000
Se 3.053 3.053 3.053



Entry 2:
6
Lattice="-1.615 1.844 -2.839 1.076 -2.703 -2.367 -7.118 -4.068 1.406" Properties=species:S:1:pos:R:3 comment="MgGeP PBE-GGA optimized geometry" delta_e_f_ev_per_atom=-0.28 dft_energy_ev_per_atom=-4.16 relative_energy_mev_per_atom=27 pbc="T T T"
Ge -3.441 -3.763 -1.726
Ge -4.215 -1.164 -2.075
P -2.224 -0.030 -2.476
P -5.432 -4.897 -1.325
Mg -7.034 -2.770 -1.510
Mg -0.622 -2.157 -2.291



Entry 3:
4
Lattice="3.516 0.000 0.000 0.000 3.516 0.000 0.000 0.000 6.204" Properties=species:S:1:pos:R:3 comment="MgScGe2 PBE-GGA optimized geometry" delta_e_f_ev_per_atom=-0.32 dft_energy_ev_per_atom=-4.61 pbc="T T T"
Ge 0.000 0.000 4.692
Ge 0.000 0.000 1.513
Sc 1.758 1.758 3.102
Mg 1.758 1.758 0.000



Entry 4:
10
Lattice="-2.265 0.237 -3.629 1.775 -3.659 -1.347 -15.618 -10.905 9.039" Properties=species:S:1:pos:R:3 comment="Ba5Tl4Ag PBE-GGA optimized geometry" delta_e_f_ev_per_atom=-0.37 dft_energy_ev_per_atom=-2.56 pbc="T T T"
Ba -11.226 -9.379 3.867
Ba -8.054 -7.164 2.031
Ba -14.365 -11.570 5.684
Ba -4.882 -4.949 0.196
Ba -1.743 -2.757 -1.621
Tl -12.530 -8.749 7.252
Tl -6.175 -4.311 3.574
Tl -3.088 -2.156 1.787
Tl -9.443 -6.593 5.465
Ag 0.000 0.000 0.000



Entry 5:
20
Lattice="7.221 0.000 0.000 3.611 10.524 -1.854 3.611 1.005 10.638" Properties=species:S:1:pos:R:3 comment="Ba3Na5Pb2 PBE-GGA optimized geometry" delta_e_f_ev_per_atom=-0.20 dft_energy_ev_per_atom=-2.18 pbc="T T T"
Na 7.221 8.535 3.406
Na 5.416 2.963 2.258
Na 5.416 5.764 4.392
Na 7.221 2.994 5.378
Na 9.027 2.963 2.258
Na 9.027 8.565 6.526
Na 10.832 5.549 7.325
Na 9.027 5.764 4.392
Na 5.416 8.565 6.526
Na 3.611 5.980 1.459
Ba 1.805 0.000 0.000
Ba 5.416 0.000 0.000
Ba 7.221 6.724 -0.098
Ba 7.221 4.805 8.882
Ba 3.611 1.690 6.509
Ba 10.832 9.839 2.275
Pb 7.221 3.084 -0.534
Pb 7.221 8.445 9.318
Pb 10.832 11.225 5.670
Pb 3.611 0.304 3.115



Entry 6:
5
Lattice="-3.504 -4.687 1.486 1.721 0.599 5.950 -4.625 3.762 0.959" Properties=species:S:1:pos:R:3 comment="BaBePdAu2 PBE-GGA optimized geometry" delta_e_f_ev_per_atom=1.41 dft_energy_ev_per_atom=-2.07 relative_energy_mev_per_atom=1812 pbc="T T T"
Ba 0.000 0.000 0.000
Au -2.312 1.881 0.480
Au -1.752 -2.344 0.743
Be 0.861 0.300 2.975
Pd -3.204 -0.163 4.197



Entry 7:
4
Lattice="3.608 0.000 0.000 0.000 3.608 0.000 0.000 0.000 7.104" Properties=species:S:1:pos:R:3 comment="AlGaSn2 PBE-GGA optimized geometry" delta_e_f_ev_per_atom=0.11 dft_energy_ev_per_atom=-3.58 relative_energy_mev_per_atom=0 pbc="T T T"
Ga 1.804 1.804 3.552
Al 1.804 1.804 0.000
Sn 0.000 0.000 5.433
Sn 0.000 0.000 1.671



Entry 8:
2
Lattice="3.262 0.000 0.000 -1.631 2.825 0.000 0.000 0.000 2.277" Properties=species:S:1:pos:R:3 comment="PC PBE-GGA optimized geometry" delta_e_f_ev_per_atom=1.13 dft_energy_ev_per_atom=-6.18 relative_energy_mev_per_atom=820 pbc="T T T"
P 1.631 0.942 0.000
C 0.000 0.000 0.000



Entry 9:
56
Lattice="-4.780 -2.956 -0.382 3.354 -4.416 -7.797 7.405 -9.990 8.844" Properties=species:S:1:pos:R:3 comment="CsScAs2H2O8 PBE-GGA optimized geometry" dft_energy_ev_per_atom=-6.25 pbc="T T T"
O 1.694 -7.757 -0.411
O 6.873 -9.965 7.259
O -0.426 -4.755 0.233
O 1.712 -4.940 -4.507
O 0.128 -6.851 1.765
O 4.268 -12.422 5.172
O 2.068 -6.565 -6.796
O 5.658 -14.541 2.373
O 1.302 -8.921 -5.008
O 2.012 -4.811 -1.160
O -0.893 -7.397 -6.594
O 6.406 -12.607 0.432
O 0.321 -2.821 -1.708
O -0.197 -8.367 -2.693
O 5.851 -10.511 -1.100
O 2.327 -7.117 -3.115
O 1.641 -2.903 0.873
O 4.338 -14.459 -0.208
O 3.968 -12.551 1.825
O 6.177 -8.995 3.359
O 2.246 -9.929 -2.725
O -2.664 -3.520 -1.247
O 4.286 -9.606 1.077
O 3.733 -7.433 3.390
O 3.653 -10.245 3.781
O 3.912 -10.797 7.461
O 4.460 -8.215 -1.393
O 1.519 -9.147 2.059
O 1.899 -11.193 -0.056
O 4.080 -6.169 0.721
O 8.643 -13.842 1.912
O 4.678 -8.441 5.673
Sc 2.782 -10.822 1.846
Sc 3.198 -6.540 -1.181
Sc 8.355 -13.450 -0.138
Sc -2.375 -3.912 0.804
As 5.083 -13.538 1.012
As 3.719 -12.371 6.861
As 0.897 -3.824 -0.346
As 0.696 -8.271 0.859
As 2.261 -4.991 -6.196
As 1.359 -8.515 -3.362
As 5.284 -9.091 -0.194
As 4.621 -8.847 4.027
H 3.964 -11.585 4.680
H -0.111 -6.099 1.124
H 2.156 -9.987 -1.739
H -0.154 -2.017 -1.377
H 3.824 -7.375 2.405
H 6.091 -11.263 -0.459
H 2.016 -5.777 -4.014
H 6.134 -15.345 2.042
Cs 0.841 -8.381 5.025
Cs 5.139 -8.981 -4.359
Cs 7.212 -11.831 3.850
Cs -1.233 -5.531 -3.184



Entry 10:
11
Lattice="3.520 1.504 2.376 -1.137 9.189 -4.131 7.803 2.715 16.335" Properties=species:S:1:pos:R:3 comment="Cs4Cl3O4 PBE-GGA optimized geometry" e_form_raw_ev_per_atom=-1.261 dft_energy_ev_per_atom=-3.88 pbc="T T T"
O 5.663 6.971 7.155
O 4.524 6.437 7.426
O 5.146 11.142 5.280
O 5.040 2.266 9.301
Cs 6.399 5.100 9.584
Cs 0.860 8.030 -2.083
Cs 9.327 5.378 16.665
Cs 3.788 8.308 4.997
Cl 7.672 11.380 10.763
Cl 2.515 2.028 3.819
Cl -0.569 4.595 -2.065



Entry 11:
12
Lattice="4.351 0.000 0.000 0.000 7.549 0.000 0.000 0.000 12.202" Properties=species:S:1:pos:R:3 comment="PmBi3Pb2 PBE-GGA optimized geometry" delta_e_f_ev_per_atom=-0.25 dft_energy_ev_per_atom=-4.22 pbc="T T T"
Pm 0.000 3.785 1.349
Pm 0.000 0.011 10.853
Pb 2.175 0.150 5.431
Pb 0.000 3.652 9.834
Pb 2.175 3.925 6.771
Pb 0.000 7.427 2.368
Bi 0.000 2.509 4.460
Bi 2.175 5.345 11.734
Bi 2.175 4.951 3.610
Bi 2.175 1.176 8.592
Bi 2.175 1.570 0.469
Bi 0.000 6.284 7.742



Entry 12:
5
Lattice="6.347 0.000 0.000 0.000 5.098 0.000 0.000 0.000 6.347" Properties=species:S:1:pos:R:3 comment="Na2MgSnI PBE-GGA optimized geometry" e_form_raw_ev_per_atom=0.037 dft_energy_ev_per_atom=-1.92 pbc="T T T"
Mg 0.000 0.000 0.000
Na 0.000 0.000 3.173
Na 3.173 0.000 0.000
Sn 0.000 2.549 0.000
I 3.173 2.549 3.173